VASP calculation (GGA-PBE) on crystalline LiPu2Al3Au12 at its relaxed geometry.

Cell and atoms, written as extended XYZ:
```
18
Lattice="6.896 -1.592 -1.129 2.022 6.783 -1.129 2.022 1.177 6.774" Properties=species:S:1:pos:R:3 pbc="T T T"
Au 7.849 1.637 4.267
Au 2.944 4.882 3.463
Au 3.091 4.731 0.249
Au 5.241 3.050 5.521
Au 5.641 0.351 0.249
Au 7.849 4.569 0.134
Au 5.299 6.017 4.267
Au 3.091 1.799 4.383
Au 5.699 3.317 -1.004
Au 5.241 6.219 1.054
Au 5.699 0.149 3.463
Au 7.996 1.486 1.054
Pu 6.883 4.007 2.842
Pu 4.057 2.361 1.675
Al 3.448 -0.796 -0.564
Al 1.011 3.391 -0.564
Al 1.011 0.588 3.387
Li 0.000 0.000 0.000
```

## Properties
**Formation energy from the elements**: -0.191 eV/atom
**Uncorrected energy**: -84.56 eV per cell

VASP calculation (GGA-PBE) on crystalline RbLiAl2Au at its relaxed geometry.

Cell and atoms, written as extended XYZ:
```
5
Lattice="6.065 0.000 0.000 0.000 5.258 0.000 0.000 0.000 6.065" Properties=species:S:1:pos:R:3 pbc="T T T"
Au 3.033 2.629 3.033
Rb 0.000 0.000 0.000
Al 3.033 0.000 0.000
Al 0.000 0.000 3.033
Li 0.000 2.629 0.000
```

## Properties
**Formation energy from the elements**: 1.444 eV/atom
**Uncorrected energy**: -6.42 eV per cell

VASP calculation (GGA-PBE) on crystalline LiAlRuAu at its relaxed geometry.

Cell and atoms, written as extended XYZ:
```
4
Lattice="-3.187 1.799 -2.211 -3.084 -2.442 -1.677 -3.946 0.111 1.643" Properties=species:S:1:pos:R:3 pbc="T T T"
Au -5.108 -0.266 -1.122
Ru 0.000 0.000 0.000
Li -2.554 -0.133 -0.561
Al -7.662 -0.399 -1.683
```

## Properties
**Formation energy from the elements**: -0.403 eV/atom
**Uncorrected energy**: -19.82 eV per cell

VASP calculation (GGA-PBE) on crystalline LiAlSbAu at its relaxed geometry.

Cell and atoms, written as extended XYZ:
```
4
Lattice="-4.038 0.604 2.424 -4.067 -1.782 -1.681 -2.046 -3.698 2.164" Properties=species:S:1:pos:R:3 pbc="T T T"
Al -5.076 -2.438 1.453
Sb -2.538 -1.219 0.727
Li 0.000 0.000 0.000
Au -7.613 -3.656 2.180
```

## Properties
**Energy relative to the elements, uncorrected**: -0.2401 eV/atom
**Uncorrected energy**: -14.02 eV per cell

VASP calculation (GGA-PBE) on crystalline LiScAl2Au4 at its relaxed geometry.

Cell and atoms, written as extended XYZ:
```
8
Lattice="-0.644 0.584 -4.433 -2.706 -2.809 -2.279 -7.101 3.829 -0.766" Properties=species:S:1:pos:R:3 pbc="T T T"
Au -7.292 2.381 -3.231
Au -3.159 -0.776 -4.247
Au -4.804 2.075 -1.330
Au -5.646 -0.470 -6.147
Al -7.788 1.165 -5.621
Al -2.663 0.440 -1.857
Li -5.225 0.802 -3.739
Sc 0.000 0.000 0.000
```

## Properties
**Formation energy from the elements**: -0.607 eV/atom
**Uncorrected energy**: -33.70 eV per cell

VASP calculation (GGA-PBE) on crystalline LiSc2AlAu4 at its relaxed geometry.

Cell and atoms, written as extended XYZ:
```
8
Lattice="-4.247 1.878 -0.220 -2.811 -0.170 3.698 0.470 7.242 3.612" Properties=species:S:1:pos:R:3 pbc="T T T"
Au -5.993 4.224 4.403
Au -4.353 1.970 2.625
Au -0.594 4.725 2.687
Au -2.234 6.979 4.466
Al -3.294 4.475 3.545
Sc -4.938 6.717 5.319
Sc -1.649 2.232 1.771
Li 0.000 0.000 0.000
```

## Properties
**Formation energy from the elements**: -0.708 eV/atom
**Uncorrected energy**: -37.09 eV per cell

VASP calculation (GGA-PBE) on crystalline Li2ScAlAu4 at its relaxed geometry.

Cell and atoms, written as extended XYZ:
```
8
Lattice="4.548 0.000 0.000 2.274 3.939 0.000 2.274 1.313 7.490" Properties=species:S:1:pos:R:3 pbc="T T T"
Au 4.548 2.626 6.381
Au 2.274 1.313 4.607
Au 6.822 3.939 2.883
Au 4.548 2.626 1.109
Al 4.548 2.626 3.745
Li 6.822 3.939 5.630
Li 2.274 1.313 1.860
Sc 0.000 0.000 0.000
```

## Properties
**Formation energy from the elements**: -0.612 eV/atom
**Uncorrected energy**: -31.90 eV per cell

VASP calculation (GGA-PBE) on crystalline Li2ScAlAu at its relaxed geometry.

Cell and atoms, written as extended XYZ:
```
5
Lattice="-4.903 0.507 -1.631 1.256 -1.957 -4.385 -1.091 -4.745 1.805" Properties=species:S:1:pos:R:3 pbc="T T T"
Au 0.628 -0.978 -2.192
Al -2.369 -3.097 -2.106
Sc 0.000 0.000 0.000
Li -2.452 0.254 -0.816
Li -0.546 -2.372 0.902
```

## Properties
**Formation energy from the elements**: 0.801 eV/atom
**Uncorrected energy**: -13.17 eV per cell

Question: Number 7 is which compound?
Answer: Li2ScAlAu4